Compound: Pu3TcPd
Source: Alexandria via LeMat-Bulk
Functional: PBE-GGA
Structure: relaxed

Lattice parameters (Å, degrees): 6.8781 6.8781 6.8781 90.00 90.00 90.00
Last column: nearest neighbours and their distance in Å.
Element x y z (fractional)
1 Pu 0.7671 0.7671 0.7671  3 Tc 2.92, 3 Pd 3.05, 4 Pu 3.18-3.20
2 Pu 0.5000 0.5000 0.5000  8 Pu 3.18, 6 Pd 3.44
3 Pu 0.2329 0.7671 0.2329  3 Tc 2.92, 3 Pd 3.05, 4 Pu 3.18-3.20
4 Pu 0.7671 0.2329 0.7671  3 Tc 2.92, 3 Pd 3.05, 4 Pu 3.18-3.20
5 Pu 0.7671 0.2329 0.2329  3 Tc 2.92, 3 Pd 3.05, 4 Pu 3.18-3.20
6 Pu 0.2329 0.2329 0.2329  3 Tc 2.92, 3 Pd 3.05, 4 Pu 3.18-3.20
7 Pu 0.7671 0.7671 0.2329  3 Tc 2.92, 3 Pd 3.05, 4 Pu 3.18-3.20
8 Pu 0.2329 0.7671 0.7671  3 Tc 2.92, 3 Pd 3.05, 4 Pu 3.18-3.20
9 Pu 0.2329 0.2329 0.7671  3 Tc 2.92, 3 Pd 3.05, 4 Pu 3.18-3.20
10 Pd 0.5000 0.5000 0.0000  8 Pu 3.05
11 Pd 0.0000 0.5000 0.5000  8 Pu 3.05
12 Pd 0.5000 0.0000 0.5000  8 Pu 3.05
13 Tc 0.0000 0.0000 0.5000  8 Pu 2.92
14 Tc 0.5000 0.0000 0.0000  8 Pu 2.92
15 Tc 0.0000 0.5000 0.0000  8 Pu 2.92

Results
symmetry	Pm-3m (221)
formation energy from the elements	0.01	eV per atom

=====

Compound: PuThTcPd
Source: Alexandria via LeMat-Bulk
Functional: PBE-GGA
Structure: relaxed

Lattice parameters (Å, degrees): 4.9769 4.9769 4.9769 60.00 60.00 60.00
Last column: nearest neighbours and their distance in Å.
Element x y z (fractional)
1 Pd 0.5000 0.5000 0.5000  4 Pu 3.05, 4 Th 3.05
2 Th 0.2500 0.2500 0.2500  4 Pd 3.05, 4 Tc 3.05
3 Tc 0.0000 0.0000 0.0000  4 Th 3.05, 4 Pu 3.05
4 Pu 0.7500 0.7500 0.7500  4 Tc 3.05, 4 Pd 3.05

Results
symmetry	F-43m (216)
formation energy from the elements	-0.22	eV per atom

=====

Compound: PuTiTcPd
Source: Alexandria via LeMat-Bulk
Functional: PBE-GGA
Structure: relaxed

Lattice parameters (Å, degrees): 4.6447 4.6447 4.6447 60.00 60.00 60.00
Last column: nearest neighbours and their distance in Å.
Element x y z (fractional)
1 Pd 0.2500 0.2500 0.2500  4 Pu 2.84, 4 Ti 2.84
2 Tc 0.7500 0.7500 0.7500  4 Pu 2.84, 4 Ti 2.84
3 Pu 0.5000 0.5000 0.5000  4 Tc 2.84, 4 Pd 2.84
4 Ti 0.0000 0.0000 0.0000  4 Pd 2.84, 4 Tc 2.84

Results
symmetry	F-43m (216)
formation energy from the elements	-0.22	eV per atom

=====

Compound: YPuTcPd
Source: Alexandria via LeMat-Bulk
Functional: PBE-GGA
Structure: relaxed

Lattice parameters (Å, degrees): 4.8793 4.8793 4.8793 60.00 60.00 60.00
Last column: nearest neighbours and their distance in Å.
Element x y z (fractional)
1 Pd 0.0000 0.0000 0.0000  4 Pu 2.99, 4 Y 2.99
2 Pu 0.2500 0.2500 0.2500  4 Tc 2.99, 4 Pd 2.99
3 Tc 0.5000 0.5000 0.5000  4 Y 2.99, 4 Pu 2.99
4 Y 0.7500 0.7500 0.7500  4 Tc 2.99, 4 Pd 2.99

Results
symmetry	F-43m (216)
formation energy from the elements	-0.22	eV per atom

=====

Compound: Pu2Te3Pd
Source: Alexandria via LeMat-Bulk
Functional: PBE-GGA
Structure: relaxed

Lattice parameters (Å, degrees): 4.2858 7.7427 20.8544 90.00 90.00 90.00
Last column: nearest neighbours and their distance in Å.
Element x y z (fractional)
1 Pu 0.2500 0.2197 0.0033  6 Te 3.11-3.20, 2 Pd 3.33
2 Pu 0.7500 0.7803 0.9967  6 Te 3.11-3.20, 2 Pd 3.33
3 Pu 0.7500 0.6275 0.8076  6 Te 3.11-3.21, 2 Pd 3.40
4 Pu 0.2500 0.3725 0.1924  6 Te 3.11-3.21, 2 Pd 3.40
5 Pu 0.7500 0.1275 0.6924  6 Te 3.11-3.21, 2 Pd 3.40
6 Pu 0.2500 0.7197 0.4967  6 Te 3.11-3.20, 2 Pd 3.33
7 Pu 0.2500 0.8725 0.3076  6 Te 3.11-3.21, 2 Pd 3.40
8 Pu 0.7500 0.2803 0.5033  6 Te 3.11-3.20, 2 Pd 3.33
9 Te 0.2500 0.8955 0.0957  2 Pd 2.70
10 Te 0.2500 0.8748 0.7509  1 Pd 2.77
11 Te 0.7500 0.9336 0.4201  1 Pd 2.70
12 Te 0.2500 0.3748 0.7491  1 Pd 2.77
13 Te 0.7500 0.4336 0.0799  1 Pd 2.70
14 Te 0.2500 0.3955 0.4043  2 Pd 2.70
15 Te 0.7500 0.1252 0.2491  1 Pd 2.77
16 Te 0.7500 0.6252 0.2509  1 Pd 2.77
17 Te 0.7500 0.1045 0.9043  2 Pd 2.70
18 Te 0.2500 0.5664 0.9201  1 Pd 2.70
19 Te 0.7500 0.6045 0.5957  2 Pd 2.70
20 Te 0.2500 0.0664 0.5799  1 Pd 2.70
21 Pd 0.7500 0.5991 0.3833  4 Te 2.70-2.77
22 Pd 0.2500 0.9009 0.8833  4 Te 2.70-2.77
23 Pd 0.2500 0.4009 0.6167  4 Te 2.70-2.77
24 Pd 0.7500 0.0991 0.1167  4 Te 2.70-2.77

Results
symmetry	Pnma (62)
uncorrected formation energy	-0.881	eV per atom

=====

Compound: PuTePd4
Source: Alexandria via LeMat-Bulk
Functional: PBE-GGA
Structure: relaxed

Lattice parameters (Å, degrees): 4.2221 7.2579 7.6400 90.00 90.00 90.00
Last column: nearest neighbours and their distance in Å.
Element x y z (fractional)
1 Te 0.0000 0.7560 0.2500  6 Pd 2.60-2.73
2 Te 0.0000 0.2440 0.7500  6 Pd 2.60-2.73
3 Pd 0.5000 0.6923 0.4687  2 Te 2.73, 2 Pd 2.83-2.84, 2 Pu 3.02
4 Pd 0.0000 0.0000 0.0000  2 Te 2.60, 4 Pd 2.87
5 Pd 0.5000 0.3077 0.5313  2 Te 2.73, 2 Pd 2.83-2.84, 2 Pu 3.02
6 Pd 0.5000 0.6923 0.0313  2 Te 2.73, 2 Pd 2.83-2.84, 2 Pu 3.02
7 Pd 0.5000 0.9485 0.7500  8 Pd 2.84-3.10, 2 Pu 2.98, 2 Te 3.01
8 Pd 0.5000 0.0515 0.2500  8 Pd 2.84-3.10, 2 Pu 2.98, 2 Te 3.01
9 Pd 0.0000 0.0000 0.5000  2 Te 2.60, 4 Pd 2.87
10 Pd 0.5000 0.3077 0.9687  2 Te 2.73, 2 Pd 2.83-2.84, 2 Pu 3.02
11 Pu 0.0000 0.6594 0.7500  8 Pd 2.98-3.12, 1 Te 3.01
12 Pu 0.0000 0.3406 0.2500  8 Pd 2.98-3.12, 1 Te 3.01

Results
energy relative to the lowest polymorph listed for this composition	14	meV per atom
symmetry	Pmma (51)
uncorrected formation energy	-0.370	eV per atom

=====

Compound: PuTe12Pd7
Source: Alexandria via LeMat-Bulk
Functional: PBE-GGA
Structure: relaxed

Lattice parameters (Å, degrees): 8.4252 8.4252 8.4252 103.64 103.64 103.64
Last column: nearest neighbours and their distance in Å.
Element x y z (fractional)
1 Te 0.8457 0.6086 0.5619  3 Pd 2.65-2.72
2 Te 0.1543 0.3914 0.4381  3 Pd 2.65-2.72
3 Te 0.3914 0.4381 0.1543  3 Pd 2.65-2.72
4 Te 0.0088 0.7120 0.2368  3 Pd 2.71-2.92
5 Te 0.7632 0.9912 0.2880  3 Pd 2.71-2.92
6 Te 0.5619 0.8457 0.6086  3 Pd 2.65-2.72
7 Te 0.2880 0.7632 0.9912  3 Pd 2.71-2.92
8 Te 0.9912 0.2880 0.7632  3 Pd 2.71-2.92
9 Te 0.4381 0.1543 0.3914  3 Pd 2.65-2.72
10 Te 0.6086 0.5619 0.8457  3 Pd 2.65-2.72
11 Te 0.2368 0.0088 0.7120  3 Pd 2.71-2.92
12 Te 0.7120 0.2368 0.0088  3 Pd 2.71-2.92
13 Pu 0.0000 0.0000 0.0000  6 Pd 3.00
14 Pd 0.1086 0.0580 0.3799  5 Te 2.65-2.92
15 Pd 0.0580 0.3799 0.1086  5 Te 2.65-2.92
16 Pd 0.3799 0.1086 0.0580  5 Te 2.65-2.92
17 Pd 0.8914 0.9420 0.6201  5 Te 2.65-2.92
18 Pd 0.5000 0.5000 0.5000  6 Te 2.72
19 Pd 0.6201 0.8914 0.9420  5 Te 2.65-2.92
20 Pd 0.9420 0.6201 0.8914  5 Te 2.65-2.92

Results
symmetry	R-3 (148)
uncorrected formation energy	-0.313	eV per atom

=====

Compound: PuTe2Pd2
Source: Alexandria via LeMat-Bulk
Functional: PBE-GGA
Structure: relaxed

Lattice parameters (Å, degrees): 7.4563 7.4563 6.9379 122.01 122.01 93.31
Last column: nearest neighbours and their distance in Å.
Element x y z (fractional)
1 Te 0.3962 0.6038 0.2500  4 Pd 2.72-2.74
2 Te 0.8215 0.1785 0.2500  4 Pd 2.68-2.78
3 Te 0.1785 0.8215 0.7500  4 Pd 2.68-2.78
4 Te 0.6038 0.3962 0.7500  4 Pd 2.72-2.74
5 Pu 0.1109 0.8891 0.2500  2 Pd 2.92, 2 Te 3.09-3.14
6 Pu 0.8891 0.1109 0.7500  2 Pd 2.92, 2 Te 3.09-3.14
7 Pd 0.5690 0.7812 0.0899  4 Te 2.68-2.78, 1 Pu 2.92, 1 Pd 3.00
8 Pd 0.4310 0.2188 0.9101  4 Te 2.68-2.78, 1 Pu 2.92, 1 Pd 3.00
9 Pd 0.7812 0.5690 0.5899  4 Te 2.68-2.78, 1 Pu 2.92, 1 Pd 3.00
10 Pd 0.2188 0.4310 0.4101  4 Te 2.68-2.78, 1 Pu 2.92, 1 Pd 3.00

Results
energy relative to the lowest polymorph listed for this composition	107	meV per atom
symmetry	C2/c (15)
uncorrected formation energy	-0.527	eV per atom

=====

Number 1: VASP energy -175.6 eV for the cell shown, spin magnetization 46.8 μB per cell. Number 2: VASP energy -38.2 eV for the cell shown, spin magnetization 4.7 μB per cell. Number 3: VASP energy -38.7 eV for the cell shown, spin magnetization 4.7 μB per cell. Number 4: VASP energy -37.2 eV for the cell shown, spin magnetization 4.3 μB per cell. Number 5: VASP energy -194.3 eV for the cell shown, spin magnetization 40.0 μB per cell. Number 6: VASP energy -80.9 eV for the cell shown, spin magnetization 10.5 μB per cell. Number 7: VASP energy -94.6 eV for the cell shown, spin magnetization 4.9 μB per cell. Number 8: VASP energy -67.3 eV for the cell shown, spin magnetization 10.2 μB per cell.